[1]
! Cr2AsAu GGA-PBE relaxed; values from VASP
&SYSTEM
  ibrav = 0, nat = 4, ntyp = 3
/
ATOMIC_SPECIES
Cr 52.00 Cr.upf
As 74.92 As.upf
Au 196.97 Au.upf
CELL_PARAMETERS angstrom
3.3504 0.0000 0.0000
0.0000 4.4654 0.0000
0.0000 0.0000 4.4666
ATOMIC_POSITIONS crystal
Cr 0.0000 0.0000 0.0000
Cr 0.0000 0.5000 0.4964
As 0.5000 0.5000 0.9976
Au 0.5000 0.0000 0.5002
! - crystal system = orthorhombic
! - SG = Pmm2, No. 25
! - density of states at the Fermi level (states/eV/f.u.) = 3.57
! - energy of formation (meV/atom) = 235

***

[2]
! NaSr3Pb GGA-PBE relaxed; values from VASP
&SYSTEM
  ibrav = 0, nat = 5, ntyp = 3
/
ATOMIC_SPECIES
Na 22.99 Na.upf
Sr 87.62 Sr.upf
Pb 207.20 Pb.upf
CELL_PARAMETERS angstrom
6.4970 0.0000 0.0000
0.0000 6.4970 0.0000
0.0000 0.0000 6.4970
ATOMIC_POSITIONS crystal
Na 0.0000 0.0000 0.0000
Sr 0.0000 0.5000 0.5000
Sr 0.5000 0.0000 0.5000
Sr 0.5000 0.5000 0.0000
Pb 0.5000 0.5000 0.5000
! - crystal system = cubic
! - offset from the most stable computed form (kJ/mol of atoms) = 13.18
! - SG = Pm-3m, No. 221
! - density of states at the Fermi level (states/eV/f.u.) = 5.42
! - energy of formation (meV/atom) = -135

***

[3]
! SrH2O GGA-PBE relaxed; values from VASP
&SYSTEM
  ibrav = 0, nat = 16, ntyp = 3
/
ATOMIC_SPECIES
Sr 87.62 Sr.upf
H 1.01 H.upf
O 16.00 O.upf
CELL_PARAMETERS angstrom
5.5370 0.0000 0.0000
0.0000 5.5370 0.0000
0.0000 0.0000 5.5370
ATOMIC_POSITIONS crystal
Sr 0.0000 0.0000 0.0000
Sr 0.0000 0.5000 0.5000
Sr 0.5000 0.0000 0.5000
Sr 0.5000 0.5000 0.0000
H 0.2500 0.2500 0.2500
H 0.2500 0.2500 0.7500
H 0.2500 0.7500 0.2500
H 0.2500 0.7500 0.7500
H 0.7500 0.2500 0.2500
H 0.7500 0.2500 0.7500
H 0.7500 0.7500 0.2500
H 0.7500 0.7500 0.7500
O 0.0000 0.0000 0.5000
O 0.0000 0.5000 0.0000
O 0.5000 0.0000 0.0000
O 0.5000 0.5000 0.5000
! - crystal system = cubic
! - offset from the most stable computed form (kJ/mol of atoms) = 103.65
! - SG = Fm-3m, No. 225
! - density of states at the Fermi level (states/eV/f.u.) = 1.92